CsGaCl2 PBE relaxed; uncorrected energy = -3.09 eV/atom; formation energy (no corrections) = -1201 meV per atom
1.0
0.000 3.966 3.966
3.966 0.000 3.966
3.966 3.966 0.000
Cs Ga Cl
1 1 2
Direct
0.000 0.000 0.000 Cs
0.500 0.500 0.500 Ga
0.250 0.250 0.250 Cl
0.750 0.750 0.750 Cl